Entry 1:
Material: Gd3TaO7
Method: DFT, SCAN
State: single point on PBEsol structure

Output
crystal system = orthorhombic
raw formation energy = -39.796 eV per formula unit
energy above the lowest structure with this stoichiometry = 0 meV per atom

a = 7.537 Å, b = 10.570 Å, c = 7.493 Å
α = 90.00°, β = 90.00°, γ = 90.00°
Space group C222_1 (No. 20)
Symmetry-distinct sites (fractional):
Gd 0.031 0.000 0.000 [4 per cell]
Gd 0.233 0.268 0.759 [8 per cell]
Ta 0.001 0.500 0.000 [4 per cell]
O 0.000 0.129 0.250 [4 per cell]
O 0.000 0.138 0.750 [4 per cell]
O 0.000 0.435 0.750 [4 per cell]
O 0.180 0.372 0.043 [8 per cell]
O 0.204 0.378 0.476 [8 per cell]

Entry 2:
Material: Gd3TaO7
Method: DFT, SCAN
State: single point on PBEsol structure

Output
crystal system = orthorhombic
raw formation energy = -39.630 eV per formula unit
energy above the lowest structure with this stoichiometry = 15 meV per atom

a = 10.645 Å, b = 7.311 Å, c = 7.519 Å
α = 90.00°, β = 90.00°, γ = 90.00°
Space group Cmcm (No. 63)
Symmetry-distinct sites (fractional):
Gd 0.000 0.000 0.000 [4 per cell]
Gd 0.228 0.292 0.250 [8 per cell]
Ta 0.000 0.500 0.000 [4 per cell]
O 0.000 0.423 0.250 [4 per cell]
O 0.129 0.308 0.536 [16 per cell]
O 0.131 0.023 0.250 [8 per cell]

Entry 3:
Material: GdTa3O9
Method: DFT, SCAN
State: single point on PBEsol structure

Output
crystal system = monoclinic
raw formation energy = -42.117 eV per formula unit
energy above the lowest structure with this stoichiometry = 15 meV per atom

a = 12.441 Å, b = 7.550 Å, c = 6.465 Å
α = 90.00°, β = 94.71°, γ = 90.00°
Space group C2/m (No. 12)
Symmetry-distinct sites (fractional):
Gd 0.231 0.000 0.055 [4 per cell]
Ta 0.035 0.248 0.764 [8 per cell]
Ta 0.250 0.250 0.500 [4 per cell]
O 0.043 0.000 0.708 [4 per cell]
O 0.075 0.500 0.813 [4 per cell]
O 0.090 0.211 0.071 [8 per cell]
O 0.091 0.290 0.453 [8 per cell]
O 0.209 0.213 0.784 [8 per cell]
O 0.227 0.000 0.418 [4 per cell]

Entry 4:
Material: GdTiO3
Method: DFT, SCAN
State: single point on PBEsol structure

Output
crystal system = orthorhombic
raw formation energy = -17.429 eV per formula unit

a = 5.636 Å, b = 7.648 Å, c = 5.341 Å
α = 90.00°, β = 90.00°, γ = 90.00°
Space group Pnma (No. 62)
Symmetry-distinct sites (fractional):
Gd 0.069 0.250 0.018 [4 per cell]
Ti 0.000 0.000 0.500 [4 per cell]
O 0.032 0.750 0.395 [4 per cell]
O 0.201 0.552 0.805 [8 per cell]

Entry 5:
Material: Gd3YV4O16
Method: DFT, SCAN
State: single point on PBEsol structure

Output
crystal system = orthorhombic
raw formation energy = -78.551 eV per formula unit

a = 6.286 Å, b = 10.139 Å, c = 10.139 Å
α = 90.00°, β = 90.00°, γ = 90.00°
Space group C222 (No. 21)
Symmetry-distinct sites (fractional):
Gd 0.000 0.000 0.000 [2 per cell]
Gd 0.250 0.250 0.251 [4 per cell]
Y 0.000 0.500 0.500 [2 per cell]
V 0.000 0.000 0.500 [2 per cell]
V 0.000 0.500 0.000 [2 per cell]
V 0.250 0.250 0.748 [4 per cell]
O 0.077 0.158 0.840 [8 per cell]
O 0.077 0.343 0.656 [8 per cell]
O 0.174 0.408 0.092 [8 per cell]
O 0.175 0.091 0.409 [8 per cell]

Entry 6:
Material: Gd2W2O9
Method: DFT, SCAN
State: single point on PBEsol structure

Output
crystal system = triclinic
raw formation energy = -37.849 eV per formula unit
energy above the lowest structure with this stoichiometry = 0 meV per atom

a = 6.721 Å, b = 7.029 Å, c = 7.325 Å
α = 71.06°, β = 84.37°, γ = 82.78°
Space group P-1 (No. 2)
Symmetry-distinct sites (fractional):
Gd 0.115 0.286 0.381 [2 per cell]
Gd 0.351 0.737 0.842 [2 per cell]
W 0.228 0.264 0.947 [2 per cell]
W 0.341 0.793 0.365 [2 per cell]
O 0.004 0.759 0.904 [2 per cell]
O 0.137 0.642 0.374 [2 per cell]
O 0.173 0.491 0.747 [2 per cell]
O 0.183 0.910 0.541 [2 per cell]
O 0.235 0.057 0.851 [2 per cell]
O 0.316 0.431 0.090 [2 per cell]
O 0.351 0.069 0.216 [2 per cell]
O 0.461 0.303 0.467 [2 per cell]
O 0.468 0.739 0.142 [2 per cell]

Entry 7:
Material: Gd6WO12
Method: DFT, SCAN
State: single point on PBEsol structure

Output
crystal system = trigonal
raw formation energy = -66.582 eV per formula unit

a = 9.8350 Å, b = 9.8350 Å, c = 9.4195 Å
α = 90.00°, β = 90.00°, γ = 120.00°
Space group R-3 (No. 148, hexagonal axes)
Symmetry-distinct sites (fractional):
Gd 0.0443 0.2564 0.1445 [18 per cell]
W 0.0000 0.0000 0.5000 [3 per cell]
O 0.0345 0.2241 0.9014 [18 per cell]
O 0.0390 0.1825 0.3887 [18 per cell]

Entry 8:
Material: Gd2W2O9
Method: DFT, SCAN
State: single point on PBEsol structure

Output
crystal system = orthorhombic
raw formation energy = -37.367 eV per formula unit
energy above the lowest structure with this stoichiometry = 37 meV per atom

a = 11.721 Å, b = 15.474 Å, c = 7.137 Å
α = 90.00°, β = 90.00°, γ = 90.00°
Space group C222_1 (No. 20)
Symmetry-distinct sites (fractional):
Gd 0.000 0.227 0.250 [4 per cell]
Gd 0.000 0.227 0.750 [4 per cell]
Gd 0.234 0.356 0.000 [8 per cell]
W 0.000 0.500 0.250 [4 per cell]
W 0.047 0.000 0.500 [4 per cell]
W 0.229 0.377 0.500 [8 per cell]
O 0.000 0.000 0.250 [4 per cell]
O 0.031 0.120 0.500 [8 per cell]
O 0.058 0.500 0.000 [4 per cell]
O 0.080 0.288 0.000 [8 per cell]
O 0.109 0.414 0.311 [8 per cell]
O 0.110 0.414 0.689 [8 per cell]
O 0.155 0.268 0.500 [8 per cell]
O 0.181 0.149 0.202 [8 per cell]
O 0.181 0.149 0.798 [8 per cell]
O 0.200 0.000 0.500 [4 per cell]
O 0.229 0.000 0.000 [4 per cell]

Entry 9:
Material: Gd2Zr2O7
Method: DFT, SCAN
State: single point on PBEsol structure

Output
crystal system = orthorhombic
raw formation energy = -40.490 eV per formula unit

a = 7.477 Å, b = 7.431 Å, c = 10.423 Å
α = 90.00°, β = 90.00°, γ = 90.00°
Space group Pmna (No. 53)
Symmetry-distinct sites (fractional):
Gd 0.000 0.000 0.000 [2 per cell]
Gd 0.000 0.500 0.500 [2 per cell]
Gd 0.250 0.244 0.250 [4 per cell]
Zr 0.000 0.000 0.500 [2 per cell]
Zr 0.000 0.500 0.000 [2 per cell]
Zr 0.250 0.243 0.750 [4 per cell]
O 0.000 0.241 0.389 [4 per cell]
O 0.000 0.250 0.666 [4 per cell]
O 0.000 0.260 0.107 [4 per cell]
O 0.213 0.448 0.879 [8 per cell]
O 0.249 0.021 0.623 [8 per cell]

Entry 10:
Material: Gd2Zr2O7
Method: DFT, SCAN
State: single point on PBEsol structure

Output
crystal system = cubic
raw formation energy = -41.483 eV per formula unit

a = 10.512 Å, b = 10.512 Å, c = 10.512 Å
α = 90.00°, β = 90.00°, γ = 90.00°
Space group Fd-3m (No. 227, origin choice 2)
Symmetry-distinct sites (fractional):
Gd 0.000 0.000 0.000 [16 per cell]
Zr 0.000 0.000 0.500 [16 per cell]
O 0.089 0.375 0.875 [48 per cell]
O 0.125 0.125 0.125 [8 per cell]

Entry 11:
Material: GdSi2Os2
Method: DFT, SCAN
State: single point on PBEsol structure

Output
crystal system = tetragonal
raw formation energy = -3.882 eV per formula unit

a = 4.128 Å, b = 4.128 Å, c = 9.694 Å
α = 90.00°, β = 90.00°, γ = 90.00°
Space group I4/mmm (No. 139)
Symmetry-distinct sites (fractional):
Gd 0.000 0.000 0.000 [2 per cell]
Si 0.000 0.000 0.373 [4 per cell]
Os 0.000 0.500 0.250 [4 per cell]

Entry 12:
Material: GdP5
Method: DFT, SCAN
State: single point on PBEsol structure

Output
ΔH_f (0 K) = -606 meV per atom
crystal system = monoclinic

a = 4.830 Å, b = 9.397 Å, c = 5.328 Å
α = 90.00°, β = 103.75°, γ = 90.00°
Space group P2_1/m (No. 11)
Symmetry-distinct sites (fractional):
Gd 0.019 0.250 0.356 [2 per cell]
P 0.271 0.250 0.905 [2 per cell]
P 0.283 0.534 0.401 [4 per cell]
P 0.380 0.593 0.038 [4 per cell]

Entry 13:
Material: GdPPd
Method: DFT, SCAN
State: single point on PBEsol structure

Output
ΔH_f (0 K) = -1343 meV per atom
crystal system = hexagonal

a = 4.1312 Å, b = 4.1312 Å, c = 7.5348 Å
α = 90.00°, β = 90.00°, γ = 120.00°
Space group P6_3/mmc (No. 194)
Symmetry-distinct sites (fractional):
Gd 0.0000 0.0000 0.0000 [2 per cell]
P 0.3333 0.6667 0.2500 [2 per cell]
Pd 0.3333 0.6667 0.7500 [2 per cell]

Number 1: N(E_F) 0.0 states/eV/f.u.. Number 2: N(E_F) 0.0 states/eV/f.u.. Number 3: N(E_F) 0.0 states/eV/f.u.. Number 4: N(E_F) 1.6 states/eV/f.u.. Number 5: N(E_F) 0.0 states/eV/f.u.. Number 6: N(E_F) 0.0 states/eV/f.u.. Number 7: N(E_F) 0.0 states/eV/f.u.. Number 8: N(E_F) 0.0 states/eV/f.u.. Number 9: N(E_F) 0.0 states/eV/f.u.. Number 10: N(E_F) 0.0 states/eV/f.u.. Number 11: N(E_F) 3.0 states/eV/f.u.. Number 12: N(E_F) 0.2 states/eV/f.u.. Number 13: N(E_F) 0.8 states/eV/f.u..